# 1
Material: Pm5Pr6Y
Method: DFT, PBE-GGA
State: optimized geometry

POSCAR file:
```
Pm5Pr6Y
1.0
9.360 -2.605 0.000
9.360 2.605 0.000
-5.744 0.000 8.652
Pm Pr Y
5 6 1
direct
0.000 0.000 0.000
0.333 0.333 0.333
0.333 0.333 0.833
0.667 0.667 0.167
0.667 0.667 0.667
0.167 0.167 0.417
0.167 0.167 0.916
0.500 0.500 0.251
0.500 0.500 0.749
0.833 0.833 0.084
0.833 0.833 0.583
0.000 0.000 0.500
```

## Properties
DFT formation energy   0.0124 eV per atom
Size of the total moment   0.000 μB/cell

***

# 2
Material: Pm3PrY4
Method: DFT, PBE-GGA
State: optimized geometry

POSCAR file:
```
Pm3PrY4
1.0
11.601 0.000 0.000
0.000 7.365 0.000
0.000 0.000 6.354
Pm Pr Y
6 2 8
direct
0.000 0.126 0.000
0.250 0.126 0.331
0.250 0.874 0.831
0.500 0.874 0.500
0.750 0.126 0.331
0.750 0.874 0.831
0.000 0.875 0.501
0.500 0.125 0.001
0.000 0.377 0.498
0.000 0.623 0.998
0.249 0.377 0.834
0.251 0.623 0.334
0.500 0.377 0.498
0.500 0.623 0.998
0.749 0.623 0.334
0.751 0.377 0.834
```

## Properties
DFT formation energy   0.0205 eV per atom
Excess energy over the best structure of this formula in the dataset   8 meV/atom
Size of the total moment   0.000 μB/cell

***

# 3
Material: PmPr3Y7
Method: DFT, PBE-GGA
State: optimized geometry

POSCAR file:
```
PmPr3Y7
1.0
7.158 0.000 0.000
-3.579 6.199 0.000
0.000 0.000 8.780
Pm Pr Y
1 3 7
direct
0.000 0.000 0.000
0.333 0.167 0.338
0.833 0.167 0.338
0.833 0.667 0.338
0.166 0.332 0.675
0.166 0.834 0.675
0.501 0.001 0.001
0.501 0.499 0.001
0.667 0.333 0.676
0.668 0.834 0.675
0.999 0.499 0.001
```

## Properties
DFT formation energy   0.1754 eV per atom
Excess energy over the best structure of this formula in the dataset   36 meV/atom
Size of the total moment   0.000 μB/cell

***

# 4
Material: Pm4PrY3
Method: DFT, PBE-GGA
State: optimized geometry

POSCAR file:
```
Pm4PrY3
1.0
11.648 0.000 0.000
0.000 7.378 0.000
0.000 0.000 6.370
Pm Pr Y
8 2 6
direct
0.000 0.126 0.000
0.000 0.873 0.495
0.247 0.876 0.828
0.253 0.124 0.328
0.500 0.127 0.995
0.500 0.874 0.500
0.747 0.124 0.328
0.753 0.876 0.828
0.000 0.373 0.493
0.500 0.627 0.993
0.000 0.624 0.993
0.250 0.376 0.829
0.250 0.624 0.329
0.500 0.376 0.493
0.750 0.376 0.829
0.750 0.624 0.329
```

## Properties
DFT formation energy   0.0222 eV per atom
Excess energy over the best structure of this formula in the dataset   0 meV/atom
Size of the total moment   0.001 μB/cell

***

# 5
Material: Pm5Pr2Y2
Method: DFT, PBE-GGA
State: optimized geometry

POSCAR file:
```
Pm5Pr2Y2
1.0
-7.540 6.036 3.431
7.540 -6.036 3.431
7.540 6.036 -3.431
Pm Pr Y
10 4 4
direct
0.249 0.052 0.302
0.249 0.448 0.697
0.432 0.446 0.486
0.450 0.039 0.125
0.450 0.825 0.912
0.751 0.552 0.303
0.751 0.948 0.698
0.913 0.325 0.875
0.913 0.539 0.088
0.960 0.946 0.514
0.820 0.320 0.500
0.820 0.820 0.000
0.879 0.133 0.247
0.886 0.633 0.753
0.344 0.474 0.122
0.344 0.722 0.370
0.352 0.222 0.878
0.352 0.974 0.630
```

## Properties
DFT formation energy   0.1914 eV per atom
Excess energy over the best structure of this formula in the dataset   181 meV/atom
Size of the total moment   0.000 μB/cell

***

# 6
Material: Pm5Pr2Y12
Method: DFT, PBE-GGA
State: optimized geometry

POSCAR file:
```
Pm5Pr2Y12
1.0
6.859 0.000 0.000
-3.071 8.554 0.000
-3.024 -2.876 10.873
Pm Pr Y
5 2 12
direct
0.000 0.000 0.000
0.108 0.847 0.483
0.360 0.795 0.948
0.640 0.205 0.052
0.892 0.153 0.517
0.487 0.269 0.586
0.513 0.731 0.414
0.009 0.622 0.151
0.154 0.320 0.305
0.201 0.088 0.773
0.247 0.561 0.627
0.386 0.028 0.275
0.425 0.492 0.121
0.575 0.508 0.879
0.614 0.972 0.725
0.753 0.439 0.373
0.799 0.912 0.227
0.846 0.680 0.695
0.991 0.378 0.849
```

## Properties
DFT formation energy   0.0560 eV per atom
Excess energy over the best structure of this formula in the dataset   0 meV/atom
Size of the total moment   0.000 μB/cell

***

# 7
Material: PmPr2Y
Method: DFT, PBE-GGA
State: optimized geometry

POSCAR file:
```
PmPr2Y
1.0
5.191 0.000 0.000
0.000 5.191 0.000
0.000 0.000 5.156
Pm Pr Y
1 2 1
direct
0.000 0.000 0.000
0.000 0.500 0.500
0.500 0.000 0.500
0.500 0.500 0.000
```

## Properties
DFT formation energy   0.0129 eV per atom
Excess energy over the best structure of this formula in the dataset   4 meV/atom
Size of the total moment   0.000 μB/cell

***

# 8
Material: Pm2Pr2Y3
Method: DFT, PBE-GGA
State: optimized geometry

POSCAR file:
```
Pm2Pr2Y3
1.0
11.463 0.000 0.000
0.000 5.156 0.000
-1.153 0.000 8.048
Pm Pr Y
4 4 6
direct
0.071 0.000 0.212
0.429 0.500 0.788
0.571 0.500 0.212
0.929 0.000 0.788
0.214 0.000 0.644
0.286 0.500 0.356
0.714 0.500 0.644
0.786 0.000 0.356
0.000 0.500 0.500
0.143 0.500 0.928
0.357 0.000 0.072
0.500 0.000 0.500
0.643 0.000 0.928
0.857 0.500 0.072
```

## Properties
DFT formation energy   0.0158 eV per atom
Excess energy over the best structure of this formula in the dataset   0 meV/atom
Size of the total moment   0.000 μB/cell

***

# 9
Material: Pm5Pr5Y
Method: DFT, PBE-GGA
State: optimized geometry

POSCAR file:
```
Pm5Pr5Y
1.0
6.276 0.000 0.000
-3.138 5.435 0.000
0.000 0.000 11.677
Pm Pr Y
5 5 1
direct
0.000 0.000 0.000
0.333 0.667 0.318
0.333 0.667 0.682
0.667 0.333 0.159
0.667 0.333 0.841
0.000 0.000 0.263
0.000 0.000 0.737
0.340 0.170 0.500
0.830 0.170 0.500
0.830 0.660 0.500
0.333 0.667 0.000
```

## Properties
DFT formation energy   0.3011 eV per atom
Excess energy over the best structure of this formula in the dataset   29 meV/atom
Size of the total moment   0.000 μB/cell

***

# 10
Material: Pm2PrY3
Method: DFT, PBE-GGA
State: optimized geometry

POSCAR file:
```
Pm2PrY3
1.0
4.801 -6.670 0.000
4.801 6.670 0.000
0.000 0.000 6.436
Pm Pr Y
4 2 6
direct
0.122 0.239 0.000
0.239 0.122 0.500
0.761 0.878 0.000
0.878 0.761 0.500
0.324 0.676 0.723
0.676 0.324 0.223
0.012 0.623 0.045
0.377 0.988 0.045
0.418 0.582 0.248
0.582 0.418 0.748
0.623 0.012 0.545
0.988 0.377 0.545
```

## Properties
DFT formation energy   0.2080 eV per atom
Excess energy over the best structure of this formula in the dataset   146 meV/atom
Size of the total moment   0.000 μB/cell

***

# 11
Material: Pm2PrY
Method: DFT, PBE-GGA
State: optimized geometry

POSCAR file:
```
Pm2PrY
1.0
3.650 0.000 0.000
-1.825 3.161 0.000
0.000 0.000 35.715
Pm Pr Y
6 3 3
direct
0.000 0.000 0.249
0.000 0.000 0.751
0.333 0.667 0.418
0.333 0.667 0.915
0.667 0.333 0.085
0.667 0.333 0.582
0.000 0.000 0.000
0.333 0.667 0.667
0.667 0.333 0.333
0.000 0.000 0.500
0.333 0.667 0.167
0.667 0.333 0.833
```

## Properties
DFT formation energy   0.0144 eV per atom
Excess energy over the best structure of this formula in the dataset   5 meV/atom
Size of the total moment   0.000 μB/cell

***

# 12
Material: Pm4PrY5
Method: DFT, PBE-GGA
State: optimized geometry

POSCAR file:
```
Pm4PrY5
1.0
3.575 0.000 0.000
1.781 8.725 0.000
0.007 0.023 11.194
Pm Pr Y
4 1 5
direct
0.026 0.442 0.248
0.344 0.806 0.250
0.656 0.194 0.750
0.974 0.558 0.752
0.500 0.500 0.500
0.175 0.152 0.054
0.177 0.149 0.442
0.500 0.500 0.000
0.823 0.851 0.558
0.825 0.848 0.946
```

## Properties
DFT formation energy   0.1901 eV per atom
Excess energy over the best structure of this formula in the dataset   175 meV/atom
Size of the total moment   0.000 μB/cell

***

# 13
Material: Pm6Pr5Y2
Method: DFT, PBE-GGA
State: optimized geometry

POSCAR file:
```
Pm6Pr5Y2
1.0
11.893 0.000 0.000
0.000 21.018 0.000
0.000 0.000 3.671
Pm Pr Y
12 10 4
direct
0.062 0.081 0.000
0.082 0.368 0.000
0.174 0.638 0.500
0.326 0.138 0.500
0.418 0.868 0.000
0.438 0.581 0.000
0.562 0.419 0.000
0.582 0.132 0.000
0.674 0.862 0.500
0.826 0.362 0.500
0.918 0.632 0.000
0.938 0.919 0.000
0.000 0.500 0.500
0.088 0.226 0.500
0.198 0.947 0.500
0.302 0.447 0.500
0.412 0.726 0.500
0.500 0.000 0.500
0.588 0.274 0.500
0.698 0.553 0.500
0.802 0.053 0.500
0.912 0.774 0.500
0.169 0.789 0.000
0.331 0.289 0.000
0.669 0.711 0.000
0.831 0.211 0.000
```

## Properties
DFT formation energy   0.0866 eV per atom
Size of the total moment   0.000 μB/cell

***

# 14
Material: Pm2PrY
Method: DFT, PBE-GGA
State: optimized geometry

POSCAR file:
```
Pm2PrY
1.0
5.175 0.000 0.000
0.000 5.175 0.000
0.000 0.000 10.264
Pm Pr Y
4 2 2
direct
0.000 0.000 0.000
0.000 0.500 0.250
0.500 0.000 0.750
0.500 0.500 0.500
0.000 0.500 0.750
0.500 0.000 0.250
0.000 0.000 0.500
0.500 0.500 0.000
```

## Properties
DFT formation energy   0.0142 eV per atom
Excess energy over the best structure of this formula in the dataset   4 meV/atom
Size of the total moment   0.000 μB/cell

***

# 15
Material: PmPr5Y6
Method: DFT, PBE-GGA
State: optimized geometry

POSCAR file:
```
PmPr5Y6
1.0
3.161 -5.474 0.000
3.161 5.474 0.000
-2.102 0.000 11.737
Pm Pr Y
1 5 6
direct
0.000 0.000 0.000
0.167 0.833 0.500
0.333 0.667 0.000
0.500 0.500 0.500
0.667 0.333 0.000
0.833 0.167 0.500
0.083 0.416 0.250
0.250 0.250 0.750
0.416 0.083 0.250
0.584 0.917 0.750
0.750 0.750 0.250
0.917 0.584 0.750
```

## Properties
DFT formation energy   0.0070 eV per atom
Size of the total moment   0.000 μB/cell

***

# 16
Material: PmPr7Y2
Method: DFT, PBE-GGA
State: optimized geometry

POSCAR file:
```
PmPr7Y2
1.0
4.380 -8.632 0.000
4.380 8.632 0.000
0.000 0.000 5.653
Pm Pr Y
1 7 2
direct
0.000 0.000 0.000
0.069 0.290 0.500
0.211 0.789 0.000
0.290 0.069 0.500
0.500 0.500 0.500
0.710 0.931 0.500
0.789 0.211 0.000
0.931 0.710 0.500
0.292 0.708 0.500
0.708 0.292 0.500
```

## Properties
DFT formation energy   0.6331 eV per atom
Excess energy over the best structure of this formula in the dataset   459 meV/atom
Size of the total moment   0.000 μB/cell

***

# 17
Material: Pm6Pr3Y2
Method: DFT, PBE-GGA
State: optimized geometry

POSCAR file:
```
Pm6Pr3Y2
1.0
1.827 1.055 32.823
-1.827 1.055 32.823
0.000 -2.110 32.823
Pm Pr Y
6 3 2
direct
0.092 0.092 0.092
0.182 0.182 0.182
0.364 0.364 0.364
0.636 0.636 0.636
0.818 0.818 0.818
0.908 0.908 0.908
0.000 0.000 0.000
0.272 0.272 0.272
0.728 0.728 0.728
0.455 0.455 0.455
0.545 0.545 0.545
```

## Properties
DFT formation energy   0.0127 eV per atom
Excess energy over the best structure of this formula in the dataset   0 meV/atom
Size of the total moment   0.000 μB/cell

***

# 18
Material: PmPr3Y4
Method: DFT, PBE-GGA
State: optimized geometry

POSCAR file:
```
PmPr3Y4
1.0
11.674 0.000 0.000
0.000 7.387 0.000
0.000 0.000 6.371
Pm Pr Y
2 6 8
direct
0.000 0.128 0.000
0.500 0.872 0.500
0.000 0.874 0.499
0.250 0.126 0.331
0.250 0.874 0.831
0.500 0.126 0.999
0.750 0.126 0.331
0.750 0.874 0.831
0.000 0.377 0.498
0.000 0.622 0.997
0.250 0.378 0.833
0.250 0.622 0.333
0.500 0.378 0.497
0.500 0.623 0.998
0.750 0.378 0.833
0.750 0.622 0.333
```

## Properties
DFT formation energy   0.0230 eV per atom
Excess energy over the best structure of this formula in the dataset   0 meV/atom
Size of the total moment   0.000 μB/cell

***

# 19
Material: Pm2PrY3
Method: DFT, PBE-GGA
State: optimized geometry

POSCAR file:
```
Pm2PrY3
1.0
4.534 -4.980 0.000
4.534 4.980 0.000
-1.807 0.000 8.896
Pm Pr Y
4 2 6
direct
0.124 0.629 0.874
0.371 0.876 0.626
0.629 0.124 0.374
0.876 0.371 0.126
0.413 0.587 0.250
0.587 0.413 0.750
0.081 0.919 0.250
0.169 0.335 0.502
0.335 0.169 0.002
0.665 0.831 0.998
0.831 0.665 0.498
0.919 0.081 0.750
```

## Properties
DFT formation energy   0.0625 eV per atom
Excess energy over the best structure of this formula in the dataset   0 meV/atom
Size of the total moment   0.000 μB/cell

***

# 20
Material: Pm2Pr5Y3
Method: DFT, PBE-GGA
State: optimized geometry

POSCAR file:
```
Pm2Pr5Y3
1.0
-6.175 8.730 3.283
6.175 -8.730 3.283
6.175 8.730 -3.283
Pm Pr Y
4 10 6
direct
0.169 0.085 0.254
0.331 0.585 0.916
0.669 0.415 0.084
0.831 0.915 0.746
0.170 0.745 0.915
0.250 0.003 0.753
0.250 0.497 0.247
0.250 0.750 0.500
0.330 0.245 0.575
0.670 0.755 0.425
0.750 0.250 0.500
0.750 0.503 0.753
0.750 0.997 0.247
0.830 0.255 0.085
0.168 0.410 0.578
0.250 0.250 0.000
0.332 0.910 0.242
0.668 0.090 0.758
0.750 0.750 0.000
0.832 0.590 0.422
```

## Properties
DFT formation energy   0.2678 eV per atom
Excess energy over the best structure of this formula in the dataset   94 meV/atom
Size of the total moment   0.000 μB/cell